Below is crystalline CsAsBr2F at its relaxed geometry, with properties calculated at the PBE level.

Unit cell a=6.2604 b=6.2604 c=3.9841 alpha=90.00 beta=90.00 gamma=90.00
Space group P4/mmm (No. 123)
Symmetry-distinct sites (fractional):
Cs 0.0000 0.0000 0.0000 [1 per cell]
As 0.5000 0.5000 0.0000 [1 per cell]
Br 0.0000 0.5000 0.5000 [2 per cell]
F 0.5000 0.5000 0.5000 [1 per cell]

Values from the calculation:
- Uncorrected energy: -14.71 eV per cell
- Relative energy among the computed polymorphs: 8.86 kcal/mol of atoms
- Total magnetic moment: 0.18 μB/atom
- Fermi-level density of states: 3.16 states/eV per cell